Entry 1:
A relaxed PrGa6Ru4 crystal. Source: the Alexandria database, functional PBE.

POSCAR file:
```
PrGa6Ru4
1.0
-2.522 4.254 -4.393
0.425 -6.430 -1.492
-3.391 -1.494 5.479
Ga Ru Pr
6 4 1
Cartesian
-2.956 1.380 0.543
-2.390 -2.221 0.265
-1.878 1.812 -2.310
-1.049 -1.088 -2.942
-2.816 -4.658 4.134
-1.370 -6.528 1.494
-1.837 -2.506 2.762
-3.007 -4.543 1.571
-0.625 -4.073 0.548
-2.985 -0.474 -1.298
0.000 0.000 0.000
```

Computed properties:
The formation energy comes out at -227 meV/atom. The value obtained for the density is 7.82 g cm⁻³. The calculation puts the volume at 18.61 Å³ per atom.

Entry 2:
A relaxed HgPdI4 crystal. Source: the Alexandria database, functional PBE.

POSCAR file:
```
HgPdI4
1.0
4.597 0.000 0.000
0.000 7.168 -0.239
0.000 -0.573 13.972
Pd I Hg
2 8 2
Cartesian
2.298 3.298 6.866
0.000 0.000 0.000
0.007 2.119 1.579
0.694 2.061 8.573
1.604 5.932 1.468
2.291 5.417 8.445
2.992 0.663 12.265
4.589 4.477 12.154
3.903 4.534 5.159
2.306 1.179 5.288
0.000 -0.286 6.986
2.298 3.584 -0.120
```

Computed properties:
Its energy relative to the lowest polymorph listed for this composition is 0.000 kcal/mol of atoms. The value obtained for the density is 5.88 g cm⁻³. The calculation puts the volume at 38.31 Å³ per atom. The calculation puts the formation energy without anion corrections at -200 meV per atom.

Entry 3:
A relaxed NpSi4PtRh2 crystal. Source: the Alexandria database, functional PBE.

POSCAR file:
```
NpSi4PtRh2
1.0
-3.309 -1.167 2.197
-0.498 -3.977 1.038
3.014 -0.384 8.235
Si Np Rh Pt
4 1 2 1
Cartesian
0.944 -2.347 7.974
-2.272 -4.667 5.800
1.479 -0.861 5.670
-1.737 -3.180 3.496
0.000 0.000 0.000
0.033 -1.310 3.254
-0.826 -4.218 8.215
-0.396 -2.764 5.735
```

Computed properties:
The value obtained for the density is 9.94 g cm⁻³. The calculation puts the volume at 15.67 Å³ per atom. The calculation puts the formation energy without anion corrections at -463 meV per atom.

Entry 4:
A relaxed InGaGe crystal. Source: the Alexandria database, functional PBE.

POSCAR file:
```
InGaGe
1.0
-2.827 -3.357 1.700
1.293 -2.466 3.794
-2.223 0.648 4.098
In Ga Ge
1 1 1
Cartesian
-1.878 -2.588 4.796
0.000 0.000 0.000
-0.939 -1.294 2.398
```

Computed properties:
The formation energy comes out at 119 meV/atom. The value obtained for the density is 5.79 g cm⁻³. The calculation puts the volume at 24.57 Å³ per atom.

Entry 5:
A relaxed CrIn2Pb crystal. Source: the Alexandria database, functional PBE.

POSCAR file:
```
CrIn2Pb
1.0
5.657 -0.047 0.000
1.950 5.310 0.000
-3.803 -2.631 3.257
Pb In Cr
1 2 1
Cartesian
3.803 2.631 0.000
0.000 0.000 0.000
0.975 2.655 1.629
2.828 -0.024 1.629
```

Computed properties:
The formation energy comes out at 350 meV/atom. The value obtained for the density is 8.27 g cm⁻³. The calculation puts the volume at 24.53 Å³ per atom.

Entry 6:
A relaxed PmHoTl2 crystal. Source: the Alexandria database, functional PBE.

POSCAR file:
```
PmHoTl2
1.0
3.828 0.000 0.000
0.000 3.828 0.000
0.000 0.000 7.648
Pm Tl Ho
1 2 1
Cartesian
1.914 1.914 3.824
0.000 0.000 5.816
0.000 0.000 1.832
1.914 1.914 0.000
```

Computed properties:
The formation energy comes out at -364 meV/atom. The value obtained for the density is 10.65 g cm⁻³. The calculation puts the volume at 28.01 Å³ per atom.

Entry 7:
A relaxed NiAsPtSe2 crystal. Source: the Alexandria database, functional PBE.

POSCAR file:
```
NiAsPtSe2
1.0
4.684 0.000 0.000
0.000 4.684 0.000
0.000 0.000 4.433
As Se Ni Pt
1 2 1 1
Cartesian
0.000 0.000 2.216
0.000 2.342 0.000
2.342 0.000 0.000
0.000 0.000 0.000
2.342 2.342 2.216
```

Computed properties:
Its energy relative to the lowest polymorph listed for this composition is 0.000 kcal/mol of atoms. The value obtained for the density is 8.31 g cm⁻³. The calculation puts the volume at 19.45 Å³ per atom. The calculation puts the formation energy without anion corrections at 605 meV per atom.

Entry 8:
A relaxed AlCdPb2 crystal. Source: the Alexandria database, functional PBE.

POSCAR file:
```
AlCdPb2
1.0
-1.809 0.844 -4.192
0.779 -4.411 -1.225
-10.061 -4.464 0.871
Cd Pb Al
2 4 2
Cartesian
0.000 0.000 0.000
-6.192 -2.701 -3.015
-7.928 -4.708 -1.385
-3.539 -1.144 -2.534
-2.264 -3.763 -1.093
-8.451 -6.446 -4.081
-0.515 -1.783 -2.709
-4.898 -5.329 -1.531
```

Computed properties:
The formation energy comes out at 256 meV/atom. The value obtained for the density is 8.09 g cm⁻³. The calculation puts the volume at 28.41 Å³ per atom.

Entry 9:
A relaxed Ca2YBr crystal. Source: the Alexandria database, functional PBE.

POSCAR file:
```
Ca2YBr
1.0
-3.454 -1.995 5.379
-2.014 -5.058 3.900
3.566 -0.859 5.251
Y Ca Br
1 2 1
Cartesian
-1.168 -4.303 7.772
-4.973 -6.848 9.336
-1.520 -6.033 11.009
-0.657 -1.738 2.957
```

Computed properties:
Its energy relative to the lowest polymorph listed for this composition is 4.662 kcal/mol of atoms. The value obtained for the density is 3.00 g cm⁻³. The calculation puts the volume at 34.41 Å³ per atom. The calculation puts the formation energy without anion corrections at -439 meV per atom.

Entry 10:
A relaxed PI2O crystal. Source: the Alexandria database, functional PBE.

POSCAR file:
```
PI2O
1.0
1.993 -1.605 4.104
2.782 2.939 2.648
-1.588 1.641 4.263
I P O
2 1 1
Cartesian
2.390 2.232 8.261
0.797 0.744 2.754
1.593 1.488 5.508
0.000 0.000 0.000
```

Computed properties:
Its energy relative to the lowest polymorph listed for this composition is 5.610 kcal/mol of atoms. The value obtained for the density is 6.24 g cm⁻³. The calculation puts the volume at 20.00 Å³ per atom. The calculation puts the formation energy without anion corrections at 948 meV per atom.

Entry 11:
A relaxed LiLaTaN3 crystal. Source: the Alexandria database, functional PBE.

POSCAR file:
```
LiLaTaN3
1.0
-0.571 3.152 -0.602
-6.918 -1.336 -0.433
1.211 1.496 6.679
Li N La Ta
2 6 2 2
Cartesian
-6.319 1.741 1.873
0.041 1.571 3.772
-1.248 2.877 3.010
-5.029 0.435 2.634
-0.127 1.893 5.616
-6.151 1.419 0.029
-3.388 1.998 0.440
-2.890 1.314 5.204
-1.377 0.861 1.401
-4.901 2.451 4.243
-4.617 0.142 0.710
-1.661 3.170 4.934
```

Computed properties:
The value obtained for the density is 7.96 g cm⁻³. The calculation puts the volume at 12.83 Å³ per atom. The calculation puts the formation energy without anion corrections at -1081 meV per atom.

Entry 12:
A relaxed Tm3Sc4Rh4 crystal. Source: the Alexandria database, functional PBE.

POSCAR file:
```
Tm3Sc4Rh4
1.0
-2.483 -0.302 -2.712
5.790 -3.753 -4.885
-3.726 -4.603 6.435
Sc Rh Tm
4 4 3
Cartesian
-0.291 -5.128 0.838
-2.473 -3.713 2.679
2.054 -4.945 -3.840
-0.129 -3.530 -1.999
-2.323 -3.609 0.019
1.903 -5.049 -1.180
3.354 -3.130 -5.233
-0.047 -0.925 -2.364
2.895 -1.877 -2.442
0.027 -7.229 -1.729
-0.447 -1.429 0.568
```

Computed properties:
The formation energy comes out at -729 meV/atom. The value obtained for the density is 7.87 g cm⁻³. The calculation puts the volume at 21.07 Å³ per atom.

Please write out number 10 again, unchanged.
A relaxed PI2O crystal. Source: the Alexandria database, functional PBE.

POSCAR file:
```
PI2O
1.0
1.993 -1.605 4.104
2.782 2.939 2.648
-1.588 1.641 4.263
I P O
2 1 1
Cartesian
2.390 2.232 8.261
0.797 0.744 2.754
1.593 1.488 5.508
0.000 0.000 0.000
```

Computed properties:
Its energy relative to the lowest polymorph listed for this composition is 5.610 kcal/mol of atoms. The value obtained for the density is 6.24 g cm⁻³. The calculation puts the volume at 20.00 Å³ per atom. The calculation puts the formation energy without anion corrections at 948 meV per atom.